# LiPr2Zn5 PBE-GGA relaxed
data_LiPr2Zn5
_chemical_formula_sum 'Li2 Pr4 Zn10'
_cell_length_a 4.441
_cell_length_b 8.592
_cell_length_c 9.080
_cell_angle_alpha 90.00
_cell_angle_beta 90.00
_cell_angle_gamma 104.98
_space_group_name_H-M_alt 'P 1'
_space_group_IT_number 1
loop_
_space_group_symop_operation_xyz
'x,y,z'
loop_
_atom_site_label
_atom_site_type_symbol
_atom_site_fract_x
_atom_site_fract_y
_atom_site_fract_z
Zn1 Zn 0.815 0.629 0.107
Pr1 Pr 0.000 0.000 0.500
Zn2 Zn 0.350 0.701 0.520
Pr2 Pr 0.000 0.000 0.000
Li1 Li 0.555 0.111 0.250
Zn3 Zn 0.185 0.371 0.607
Zn4 Zn 0.599 0.198 0.750
Zn5 Zn 0.185 0.371 0.893
Zn6 Zn 0.815 0.629 0.393
Li2 Li 0.445 0.889 0.750
Zn7 Zn 0.401 0.802 0.250
Zn8 Zn 0.650 0.299 0.480
Zn9 Zn 0.350 0.701 0.980
Zn10 Zn 0.650 0.299 0.020
Pr3 Pr 0.203 0.405 0.250
Pr4 Pr 0.797 0.595 0.750
# Symmetry: No. 63
# Raw total energy (eV for the cell shown): -39.4
# ΔH_f (0 K) (meV per atom): -231
# Density of states at the Fermi level (states/eV/cell): 14.58
# Energy above the lowest structure with this stoichiometry (kJ/mol of formula units): 0.0
# Magnetization (μB per cell): 0.001